[1]
A geometry-optimized TbSb2Rh5 structure, computed with GGA-PBE.

For the total magnetization, the calculation gives 0.0 μB/f.u. The calculation puts the uncorrected energy at -6.674 eV/atom. The crystal system is orthorhombic.

CIF file:
```
data_TbSb2Rh5
_chemical_formula_sum 'Tb2 Sb4 Rh10'
_symmetry_space_group_name_H-M 'I m m m'
_symmetry_Int_Tables_number 71
_symmetry_space_group_name_Hall '-I 2 2'
_cell_length_a 3.882
_cell_length_b 7.227
_cell_length_c 10.532
_cell_angle_alpha 90.00
_cell_angle_beta 90.00
_cell_angle_gamma 90.00
loop_
_atom_site_label
_atom_site_fract_x
_atom_site_fract_y
_atom_site_fract_z
Tb1 0.000 0.000 0.000
Sb1 0.000 0.500 0.246
Rh1 0.000 0.198 0.368
Rh2 0.000 0.500 0.000
```

[2]
A geometry-optimized TbSbRh2 structure, computed with GGA-PBE.

For the total magnetization, the calculation gives 0.0 μB/f.u. The calculation puts the uncorrected energy at -6.564 eV/atom. The crystal system is tetragonal.

CIF file:
```
data_TbSbRh2
_chemical_formula_sum 'Tb1 Sb1 Rh2'
_symmetry_space_group_name_H-M 'P 4/m m m'
_symmetry_Int_Tables_number 123
_symmetry_space_group_name_Hall '-P 4 2'
_cell_length_a 4.530
_cell_length_b 4.530
_cell_length_c 3.655
_cell_angle_alpha 90.00
_cell_angle_beta 90.00
_cell_angle_gamma 90.00
loop_
_atom_site_label
_atom_site_fract_x
_atom_site_fract_y
_atom_site_fract_z
Tb1 0.000 0.000 0.000
Sb1 0.500 0.500 0.000
Rh1 0.000 0.500 0.500
```

[3]
A geometry-optimized Tb8SbRh2 structure, computed with GGA-PBE.

For the total magnetization, the calculation gives 0.0 μB/f.u. The calculation puts the uncorrected energy at -5.531 eV/atom. The crystal system is monoclinic.

CIF file:
```
data_Tb8SbRh2
_chemical_formula_sum 'Tb16 Sb2 Rh4'
_symmetry_space_group_name_H-M 'C 1 2/m 1'
_symmetry_Int_Tables_number 12
_cell_length_a 8.580
_cell_length_b 13.234
_cell_length_c 5.594
_cell_angle_alpha 90.00
_cell_angle_beta 104.06
_cell_angle_gamma 90.00
loop_
_symmetry_equiv_pos_as_xyz
'x,y,z'
'-x,-y,-z'
'-x,y,-z'
'x,-y,z'
'x+1/2,y+1/2,z'
'-x+1/2,-y+1/2,-z'
'-x+1/2,y+1/2,-z'
'x+1/2,-y+1/2,z'
loop_
_atom_site_label
_atom_site_fract_x
_atom_site_fract_y
_atom_site_fract_z
Tb1 0.000 0.245 0.000
Tb2 0.109 0.500 0.802
Tb3 0.205 0.128 0.585
Sb1 0.000 0.000 0.000
Rh1 0.000 0.303 0.500
```

[4]
A geometry-optimized TbSbRh3 structure, computed with GGA-PBE.

For the total magnetization, the calculation gives 0.0 μB/f.u. The calculation puts the uncorrected energy at -6.574 eV/atom. The crystal system is orthorhombic. For the energy relative to the lowest polymorph listed for this composition, the calculation gives 163 meV per atom.

CIF file:
```
data_TbSbRh3
_chemical_formula_sum 'Tb4 Sb4 Rh12'
_symmetry_space_group_name_H-M 'I m m a'
_symmetry_Int_Tables_number 74
_symmetry_space_group_name_Hall '-I 2b 2'
_cell_length_a 5.918
_cell_length_b 10.750
_cell_length_c 6.681
_cell_angle_alpha 90.00
_cell_angle_beta 90.00
_cell_angle_gamma 90.00
loop_
_atom_site_label
_atom_site_fract_x
_atom_site_fract_y
_atom_site_fract_z
Tb1 0.000 0.250 0.054
Sb1 0.000 0.000 0.500
Rh1 0.000 0.250 0.469
Rh2 0.250 0.121 0.750
```

[5]
A geometry-optimized TbSb2Rh structure, computed with GGA-PBE.

For the total magnetization, the calculation gives 0.0 μB/f.u. The calculation puts the uncorrected energy at -5.252 eV/atom. The crystal system is trigonal.

CIF file:
```
data_TbSb2Rh
_chemical_formula_sum 'Tb3 Sb6 Rh3'
_symmetry_space_group_name_H-M 'R -3 m'
_symmetry_Int_Tables_number 166
_symmetry_space_group_name_Hall '-R 3 2"'
_cell_length_a 3.4865
_cell_length_b 3.4865
_cell_length_c 29.4042
_cell_angle_alpha 90.00
_cell_angle_beta 90.00
_cell_angle_gamma 120.00
loop_
_atom_site_label
_atom_site_fract_x
_atom_site_fract_y
_atom_site_fract_z
Tb1 0.0000 0.0000 0.0000
Sb1 0.0000 0.0000 0.1052
Rh1 0.0000 0.0000 0.5000
```

[6]
A geometry-optimized TbSbRh structure, computed with GGA-PBE.

For the total magnetization, the calculation gives 0.0 μB/f.u. The calculation puts the uncorrected energy at -5.910 eV/atom. The crystal system is tetragonal.

CIF file:
```
data_TbSbRh
_chemical_formula_sum 'Tb2 Sb2 Rh2'
_symmetry_space_group_name_H-M 'I 4 m m'
_symmetry_Int_Tables_number 107
_symmetry_space_group_name_Hall 'I 4 -2'
_cell_length_a 3.846
_cell_length_b 3.846
_cell_length_c 9.227
_cell_angle_alpha 90.00
_cell_angle_beta 90.00
_cell_angle_gamma 90.00
loop_
_atom_site_label
_atom_site_fract_x
_atom_site_fract_y
_atom_site_fract_z
Tb1 0.000 0.000 0.000
Sb1 0.000 0.000 0.678
Rh1 0.000 0.000 0.378
```

[7]
A geometry-optimized TbSb2Rh4 structure, computed with GGA-PBE.

For the total magnetization, the calculation gives 0.0 μB/f.u. The calculation puts the uncorrected energy at -6.295 eV/atom. The crystal system is tetragonal. For the energy relative to the lowest polymorph listed for this composition, the calculation gives 316 meV per atom.

CIF file:
```
data_TbSb2Rh4
_chemical_formula_sum 'Tb2 Sb4 Rh8'
_symmetry_space_group_name_H-M 'I 4/m m m'
_symmetry_Int_Tables_number 139
_symmetry_space_group_name_Hall '-I 4 2'
_cell_length_a 4.006
_cell_length_b 4.006
_cell_length_c 17.653
_cell_angle_alpha 90.00
_cell_angle_beta 90.00
_cell_angle_gamma 90.00
loop_
_atom_site_label
_atom_site_fract_x
_atom_site_fract_y
_atom_site_fract_z
Tb1 0.000 0.000 0.000
Sb1 0.000 0.000 0.360
Rh1 0.000 0.000 0.143
Rh2 0.000 0.500 0.250
```

[8]
A geometry-optimized Tb4SbRh2 structure, computed with GGA-PBE.

For the total magnetization, the calculation gives 0.0 μB/f.u. The calculation puts the uncorrected energy at -6.104 eV/atom. The crystal system is monoclinic.

CIF file:
```
data_Tb4SbRh2
_chemical_formula_sum 'Tb16 Sb4 Rh8'
_symmetry_space_group_name_H-M 'C 1 c 1'
_symmetry_Int_Tables_number 9
_cell_length_a 8.553
_cell_length_b 14.866
_cell_length_c 6.955
_cell_angle_alpha 90.00
_cell_angle_beta 127.57
_cell_angle_gamma 90.00
loop_
_symmetry_equiv_pos_as_xyz
'x,y,z'
'x,-y,z+1/2'
'x+1/2,y+1/2,z'
'x+1/2,-y+1/2,z+1/2'
loop_
_atom_site_label
_atom_site_fract_x
_atom_site_fract_y
_atom_site_fract_z
Tb1 0.000 0.009 0.000
Tb2 0.254 0.288 0.199
Tb3 0.415 0.282 0.828
Tb4 0.483 0.079 0.148
Sb1 0.330 0.116 0.506
Rh1 0.113 0.164 0.804
Rh2 0.190 0.416 0.471
```

[9]
A geometry-optimized Tb4Sb2Rh structure, computed with GGA-PBE.

For the total magnetization, the calculation gives 0.0 μB/f.u. The calculation puts the uncorrected energy at -5.592 eV/atom. The crystal system is monoclinic.

CIF file:
```
data_Tb4Sb2Rh
_chemical_formula_sum 'Tb8 Sb4 Rh2'
_symmetry_space_group_name_H-M 'C 1 2/m 1'
_symmetry_Int_Tables_number 12
_cell_length_a 15.339
_cell_length_b 4.299
_cell_length_c 7.427
_cell_angle_alpha 90.00
_cell_angle_beta 117.77
_cell_angle_gamma 90.00
loop_
_symmetry_equiv_pos_as_xyz
'x,y,z'
'-x,-y,-z'
'-x,y,-z'
'x,-y,z'
'x+1/2,y+1/2,z'
'-x+1/2,-y+1/2,-z'
'-x+1/2,y+1/2,-z'
'x+1/2,-y+1/2,z'
loop_
_atom_site_label
_atom_site_fract_x
_atom_site_fract_y
_atom_site_fract_z
Tb1 0.114 0.000 0.418
Tb2 0.118 0.500 0.988
Sb1 0.228 0.500 0.729
Rh1 0.000 0.000 0.000
```

[10]
A geometry-optimized TbSbRh2 structure, computed with GGA-PBE.

For the total magnetization, the calculation gives 0.0 μB/f.u. The calculation puts the uncorrected energy at -6.377 eV/atom. The crystal system is orthorhombic.

CIF file:
```
data_TbSbRh2
_chemical_formula_sum 'Tb1 Sb1 Rh2'
_symmetry_space_group_name_H-M 'P m m m'
_symmetry_Int_Tables_number 47
_cell_length_a 3.437
_cell_length_b 4.056
_cell_length_c 6.020
_cell_angle_alpha 90.00
_cell_angle_beta 90.00
_cell_angle_gamma 90.00
loop_
_symmetry_equiv_pos_as_xyz
'x,y,z'
'-x,-y,-z'
'-x,-y,z'
'x,y,-z'
'x,-y,-z'
'-x,y,z'
'-x,y,-z'
'x,-y,z'
loop_
_atom_site_label
_atom_site_fract_x
_atom_site_fract_y
_atom_site_fract_z
Tb1 0.000 0.000 0.000
Sb1 0.500 0.000 0.500
Rh1 0.500 0.500 0.233
```